A plane-wave DFT calculation with PBE-GGA was carried out for an optimized crystal structure of AgHgOs2.

Cell and atoms, written as POSCAR:
```
AgHgOs2
1.0
1.4162 0.8176 9.7207
-1.4162 0.8176 9.7207
0.0000 -1.6353 9.7207
Ag Hg Os
1 1 2
Direct
0.0000 0.0000 0.0000
0.2416 0.2416 0.2416
0.4861 0.4861 0.4861
0.7506 0.7506 0.7506
```

Results
- Energy of formation: 173 kJ/mol of formula units
- Space group: R3m, No. 160
- Density of states at the Fermi level: 5.33 states/eV/cell
- DFT total energy: -5.955 eV/atom


A plane-wave DFT calculation with PBE-GGA was carried out for an optimized crystal structure of AgHgOs2.

Cell and atoms, written as POSCAR:
```
AgHgOs2
1.0
-2.0906 2.0906 3.7605
2.0906 -2.0906 3.7605
2.0906 2.0906 -3.7605
Ag Hg Os
1 1 2
Direct
0.0000 0.0000 0.0000
0.2500 0.7500 0.5000
0.5000 0.5000 0.0000
0.7500 0.2500 0.5000
```

Results
- Energy of formation: 364 kJ/mol of formula units
- Space group: I-4m2, No. 119
- Density of states at the Fermi level: 3.44 states/eV/cell
- DFT total energy: -5.461 eV/atom


A plane-wave DFT calculation with PBE-GGA was carried out for an optimized crystal structure of Ag4HgOs.

Cell and atoms, written as POSCAR:
```
Ag4HgOs
1.0
0.0000 3.8054 3.8054
3.8054 0.0000 3.8054
3.8054 3.8054 0.0000
Ag Hg Os
4 1 1
Direct
0.1254 0.1254 0.1254
0.1254 0.1254 0.6237
0.1254 0.6237 0.1254
0.6237 0.1254 0.1254
0.7500 0.7500 0.7500
0.5000 0.5000 0.5000
```

Results
- Energy of formation: 458 kJ/mol of formula units
- Space group: F-43m, No. 216
- Density of states at the Fermi level: 3.81 states/eV/cell
- DFT total energy: -3.032 eV/atom


A plane-wave DFT calculation with PBE-GGA was carried out for an optimized crystal structure of AgHgOs2.

Cell and atoms, written as POSCAR:
```
AgHgOs2
1.0
-1.4052 2.4280 5.1415
1.4052 -2.4280 5.1415
1.4052 2.4280 -5.1415
Ag Hg Os
1 1 2
Direct
0.0000 0.0000 0.0000
0.7155 0.2155 0.5000
0.2604 0.7604 0.5000
0.4591 0.4591 0.0000
```

Results
- Energy of formation: 329 kJ/mol of formula units
- Space group: Imm2, No. 44
- Density of states at the Fermi level: 3.01 states/eV/cell
- DFT total energy: -5.550 eV/atom


A plane-wave DFT calculation with PBE-GGA was carried out for an optimized crystal structure of AgHgOs2.

Cell and atoms, written as POSCAR:
```
AgHgOs2
1.0
-1.9165 1.9165 4.5614
1.9165 -1.9165 4.5614
1.9165 1.9165 -4.5614
Ag Hg Os
1 1 2
Direct
0.0000 0.0000 0.0000
0.5000 0.5000 0.0000
0.2500 0.7500 0.5000
0.7500 0.2500 0.5000
```

Results
- Energy of formation: 408 kJ/mol of formula units
- Space group: I4/mmm, No. 139
- Density of states at the Fermi level: 6.21 states/eV/cell
- DFT total energy: -5.345 eV/atom


A plane-wave DFT calculation with PBE-GGA was carried out for an optimized crystal structure of AgHgOs2.

Cell and atoms, written as POSCAR:
```
AgHgOs2
1.0
2.8276 0.0000 0.0000
0.0000 4.9966 0.0000
-0.1921 0.0000 4.7906
Ag Hg Os
1 1 2
Direct
0.0000 0.0000 0.0000
0.5000 0.0000 0.5000
0.2847 0.5000 0.2300
0.7153 0.5000 0.7700
```

Results
- Energy of formation: 335 kJ/mol of formula units
- Space group: P2/m, No. 10
- Density of states at the Fermi level: 3.93 states/eV/cell
- DFT total energy: -5.535 eV/atom


A plane-wave DFT calculation with PBE-GGA was carried out for an optimized crystal structure of AgHgOs2.

Cell and atoms, written as POSCAR:
```
AgHgOs2
1.0
3.8168 0.0000 0.0000
0.0000 3.8168 0.0000
0.0000 0.0000 4.6118
Ag Hg Os
1 1 2
Direct
0.0000 0.0000 0.0000
0.5000 0.5000 0.0000
0.0000 0.5000 0.5000
0.5000 0.0000 0.5000
```

Results
- Energy of formation: 404 kJ/mol of formula units
- Space group: P4/mmm, No. 123
- Density of states at the Fermi level: 5.12 states/eV/cell
- DFT total energy: -5.357 eV/atom


A plane-wave DFT calculation with PBE-GGA was carried out for an optimized crystal structure of AgHgOs2.

Cell and atoms, written as POSCAR:
```
AgHgOs2
1.0
4.4966 -1.4144 0.0000
4.4966 1.4144 0.0000
-0.7375 0.0000 5.3036
Ag Hg Os
1 1 2
Direct
0.0000 0.0000 0.0000
0.2455 0.2455 0.7717
0.4935 0.4935 0.4571
0.7527 0.7527 0.2993
```

Results
- Energy of formation: 283 kJ/mol of formula units
- Space group: Cm, No. 8
- Density of states at the Fermi level: 3.45 states/eV/cell
- DFT total energy: -5.669 eV/atom